[1]
A plane-wave DFT calculation with GGA-PBE was carried out for crystalline PmAlO3 at its relaxed geometry.

Its crystal system is trigonal.

Unit cell a=5.276 b=5.276 c=5.276 alpha=60.66 beta=60.66 gamma=60.66
Atoms (fractional coordinates):
Al: 0.000 0.000 0.000
Al: 0.500 0.500 0.500
O: 0.750 0.306 0.194
O: 0.694 0.806 0.250
O: 0.194 0.750 0.306
O: 0.806 0.250 0.694
O: 0.306 0.194 0.750
O: 0.250 0.694 0.806
Pm: 0.250 0.250 0.250
Pm: 0.750 0.750 0.750

[2]
A plane-wave DFT calculation with GGA-PBE was carried out for crystalline PmAlO3 at its relaxed geometry.

Its crystal system is orthorhombic.

Unit cell a=5.311 b=5.301 c=7.496 alpha=90.00 beta=90.00 gamma=90.00
Atoms (fractional coordinates):
Al: 0.500 0.000 0.000
Al: 0.000 0.500 0.000
Al: 0.500 0.000 0.500
Al: 0.000 0.500 0.500
O: 0.726 0.275 0.035
O: 0.774 0.775 0.035
O: 0.065 0.492 0.250
O: 0.435 0.992 0.250
O: 0.726 0.275 0.465
O: 0.774 0.775 0.465
O: 0.226 0.225 0.535
O: 0.274 0.725 0.535
O: 0.565 0.008 0.750
O: 0.935 0.508 0.750
O: 0.226 0.225 0.965
O: 0.274 0.725 0.965
Pm: 0.994 0.025 0.250
Pm: 0.506 0.525 0.250
Pm: 0.494 0.475 0.750
Pm: 0.006 0.975 0.750

[3]
A plane-wave DFT calculation with GGA-PBE was carried out for crystalline Pm2AlO4 at its relaxed geometry.

Its crystal system is cubic.

Unit cell a=6.537 b=6.537 c=6.537 alpha=120.00 beta=90.01 gamma=120.00
Atoms (fractional coordinates):
Al: 0.000 0.000 0.000
Al: 0.750 0.500 0.250
O: 0.113 0.226 0.339
O: 0.637 0.726 0.363
O: 0.089 0.726 0.363
O: 0.637 0.274 0.363
O: 0.661 0.774 0.887
O: 0.113 0.226 0.887
O: 0.113 0.774 0.887
O: 0.637 0.274 0.911
Pm: 0.375 0.750 0.125
Pm: 0.375 0.250 0.625
Pm: 0.875 0.250 0.625
Pm: 0.375 0.750 0.625

[4]
A plane-wave DFT calculation with GGA-PBE was carried out for crystalline PmAlO3 at its relaxed geometry.

Its crystal system is trigonal.

Unit cell a=6.173 b=6.173 c=6.173 alpha=53.81 beta=53.81 gamma=53.81
Atoms (fractional coordinates):
Al: 0.250 0.250 0.250
Al: 0.750 0.750 0.750
O: 0.750 0.443 0.057
O: 0.557 0.943 0.250
O: 0.057 0.750 0.443
O: 0.943 0.250 0.557
O: 0.443 0.057 0.750
O: 0.250 0.557 0.943
Pm: 0.000 0.000 0.000
Pm: 0.500 0.500 0.500

[5]
A plane-wave DFT calculation with GGA-PBE was carried out for crystalline Pm2Al2O5 at its relaxed geometry.

For the energy above the most stable polymorph in this dataset, the calculation gives 0.851 eV/atom. Its crystal system is tetragonal.

Unit cell a=9.382 b=3.795 c=3.795 alpha=90.00 beta=90.00 gamma=90.00
Atoms (fractional coordinates):
Al: 0.000 0.000 0.000
Al: 0.500 0.000 0.000
O: 0.127 0.500 0.000
O: 0.873 0.500 0.000
O: 0.127 0.000 0.500
O: 0.873 0.000 0.500
O: 0.500 0.500 0.500
Pm: 0.244 0.500 0.500
Pm: 0.756 0.500 0.500

[6]
A plane-wave DFT calculation with GGA-PBE was carried out for crystalline PmAlO3 at its relaxed geometry.

Its crystal system is orthorhombic.

Unit cell a=5.484 b=5.469 c=8.587 alpha=90.00 beta=90.00 gamma=90.00
Atoms (fractional coordinates):
Al: 0.463 0.473 0.250
Al: 0.037 0.973 0.250
Al: 0.963 0.027 0.750
Al: 0.537 0.527 0.750
O: 0.635 0.365 0.094
O: 0.865 0.865 0.094
O: 0.176 0.282 0.250
O: 0.324 0.782 0.250
O: 0.635 0.365 0.406
O: 0.865 0.865 0.406
O: 0.135 0.135 0.594
O: 0.365 0.635 0.594
O: 0.676 0.218 0.750
O: 0.824 0.718 0.750
O: 0.135 0.135 0.906
O: 0.365 0.635 0.906
Pm: 0.500 0.000 0.000
Pm: 0.000 0.500 0.000
Pm: 0.500 0.000 0.500
Pm: 0.000 0.500 0.500

[7]
A plane-wave DFT calculation with GGA-PBE was carried out for crystalline Pr4Al4O11 at its relaxed geometry.

For the energy above the most stable polymorph in this dataset, the calculation gives 0.000 eV/atom. Its crystal system is monoclinic.

Unit cell a=5.352 b=5.319 c=7.476 alpha=90.00 beta=90.00 gamma=90.02
Atoms (fractional coordinates):
Al: 0.500 0.000 0.001
Al: 0.999 0.500 0.002
Al: 0.999 0.500 0.498
Al: 0.500 0.000 0.499
O: 0.753 0.752 0.025
O: 0.748 0.253 0.025
O: 0.452 0.999 0.250
O: 0.748 0.253 0.475
O: 0.753 0.752 0.475
O: 0.247 0.248 0.523
O: 0.253 0.746 0.524
O: 0.547 0.001 0.750
O: 0.952 0.500 0.750
O: 0.253 0.746 0.976
O: 0.247 0.248 0.977
Pr: 0.999 0.002 0.250
Pr: 0.498 0.502 0.250
Pr: 0.498 0.498 0.750
Pr: 0.002 0.998 0.750

[8]
A plane-wave DFT calculation with GGA-PBE was carried out for crystalline Pr2Al2O5 at its relaxed geometry.

For the energy above the most stable polymorph in this dataset, the calculation gives 0.926 eV/atom. Its crystal system is tetragonal.

Unit cell a=9.710 b=3.786 c=3.786 alpha=90.00 beta=90.00 gamma=90.00
Atoms (fractional coordinates):
Al: 0.000 0.000 0.000
Al: 0.500 0.000 0.000
O: 0.123 0.500 0.000
O: 0.877 0.500 0.000
O: 0.123 0.000 0.500
O: 0.877 0.000 0.500
O: 0.500 0.500 0.500
Pr: 0.245 0.500 0.500
Pr: 0.755 0.500 0.500

[9]
A plane-wave DFT calculation with GGA-PBE was carried out for crystalline Pr4Al4O11 at its relaxed geometry.

For the energy above the most stable polymorph in this dataset, the calculation gives 0.002 eV/atom. Its crystal system is triclinic.

Unit cell a=5.343 b=5.303 c=7.518 alpha=90.07 beta=90.00 gamma=90.54
Atoms (fractional coordinates):
Al: 0.001 0.499 0.000
Al: 0.501 0.000 0.000
Al: 0.500 0.999 0.500
Al: 0.001 0.500 0.500
O: 0.749 0.748 0.019
O: 0.043 0.505 0.249
O: 0.457 0.994 0.249
O: 0.747 0.253 0.471
O: 0.754 0.753 0.481
O: 0.247 0.246 0.520
O: 0.254 0.746 0.531
O: 0.549 0.013 0.751
O: 0.952 0.486 0.751
O: 0.249 0.751 0.971
O: 0.253 0.251 0.982
Pr: 0.504 0.497 0.248
Pr: 0.996 0.003 0.248
Pr: 0.500 0.497 0.750
Pr: 0.001 0.001 0.750

[10]
A plane-wave DFT calculation with GGA-PBE was carried out for crystalline Pr2Al2O5 at its relaxed geometry.

For the energy above the most stable polymorph in this dataset, the calculation gives 0.000 eV/atom. Its crystal system is tetragonal.

Unit cell a=7.345 b=3.773 c=3.773 alpha=90.00 beta=90.00 gamma=90.00
Atoms (fractional coordinates):
Al: 0.242 0.500 0.500
Al: 0.758 0.500 0.500
O: 0.247 0.500 0.000
O: 0.753 0.500 0.000
O: 0.247 0.000 0.500
O: 0.753 0.000 0.500
O: 0.500 0.500 0.500
Pr: 0.000 0.000 0.000
Pr: 0.500 0.000 0.000

no.,E_tot (Ry/atom),mass density (Mg/m³)
1,-0.584,6.9
2,-0.584,6.9
3,-0.563,6.4
4,-0.563,5.1
5,-0.493,5.2
6,-0.564,5.7
7,-0.569,6.6
8,-0.487,5.0
9,-0.569,6.6
10,-0.555,6.6